1.
DFT (PBE) results for crystalline FeGePdAu2 at its relaxed geometry.

Lattice parameters (Å, degrees): 5.0831 5.0831 4.5770 90.00 90.00 90.00
Space group P4/mmm (No. 123)
One atom of each set of equivalent atoms:
Fe 0.0000 0.0000 0.0000 x1
Ge 0.5000 0.5000 0.0000 x1
Pd 0.0000 0.0000 0.5000 x1
Au 0.0000 0.5000 0.5000 x2

Results
Total magnetic moment in μB/f.u.: 3.521
Crystal system: tetragonal
Formation energy in eV/atom: 0.9064

=====

2.
DFT (PBE) results for crystalline FeGe2RhAu at its relaxed geometry.

Lattice parameters (Å, degrees): 4.6000 4.6000 5.2455 90.00 90.00 90.00
Space group P4/mmm (No. 123)
One atom of each set of equivalent atoms:
Fe 0.0000 0.0000 0.0000 x1
Ge 0.0000 0.5000 0.5000 x2
Rh 0.5000 0.5000 0.5000 x1
Au 0.5000 0.5000 0.0000 x1

Results
Energy relative to the lowest polymorph listed for this composition in eV per atom: 0.2030
Total magnetic moment in μB/f.u.: 3.457
Crystal system: tetragonal
Formation energy in eV/atom: 0.6824

=====

3.
DFT (PBE) results for crystalline FeGe2RhAu at its relaxed geometry.

Lattice parameters (Å, degrees): 4.6530 4.6530 4.8597 90.00 90.00 90.00
Space group P4/mmm (No. 123)
One atom of each set of equivalent atoms:
Fe 0.0000 0.0000 0.0000 x1
Ge 0.0000 0.5000 0.5000 x2
Rh 0.0000 0.0000 0.5000 x1
Au 0.5000 0.5000 0.0000 x1

Results
Energy relative to the lowest polymorph listed for this composition in eV per atom: 0.0000
Total magnetic moment in μB/f.u.: 3.742
Crystal system: tetragonal
Formation energy in eV/atom: 0.4794

=====

4.
DFT (PBE) results for crystalline ScFeGe2Au at its relaxed geometry.

Lattice parameters (Å, degrees): 4.8293 4.8293 5.2036 90.00 90.00 90.00
Space group P4/mmm (No. 123)
One atom of each set of equivalent atoms:
Sc 0.0000 0.0000 0.0000 x1
Fe 0.5000 0.5000 0.0000 x1
Ge 0.0000 0.5000 0.5000 x2
Au 0.0000 0.0000 0.5000 x1

Results
Total magnetic moment in μB/f.u.: 0.106
Crystal system: tetragonal
Formation energy in eV/atom: 1.1136

=====

5.
DFT (PBE) results for crystalline SrFe2GeAu at its relaxed geometry.

Lattice parameters (Å, degrees): 4.6819 4.6819 5.4583 90.00 90.00 90.00
Space group P4/mmm (No. 123)
One atom of each set of equivalent atoms:
Sr 0.0000 0.0000 0.0000 x1
Fe 0.0000 0.5000 0.0000 x2
Ge 0.0000 0.0000 0.5000 x1
Au 0.5000 0.5000 0.5000 x1

Results
Total magnetic moment in μB/f.u.: 0.233
Crystal system: tetragonal
Formation energy in eV/atom: 2.2711

=====

6.
DFT (PBE) results for crystalline Th3Fe2Ge6Au at its relaxed geometry.

Lattice parameters (Å, degrees): 6.0378 6.0378 8.2180 90.00 90.00 120.00
Space group P-3m1 (No. 164)
One atom of each set of equivalent atoms:
Th 0.0000 0.0000 0.0000 x1
Th 0.3333 0.6667 0.6256 x2
Fe 0.3333 0.6667 0.0198 x2
Ge 0.1890 0.3781 0.2757 x6
Au 0.0000 0.0000 0.5000 x1

Results
Total magnetic moment in μB/f.u.: 5.386
Crystal system: trigonal
Formation energy in eV/atom: -0.0852

=====

7.
DFT (PBE) results for crystalline FeHAu at its relaxed geometry.

Lattice parameters (Å, degrees): 2.8729 2.8729 4.6146 90.00 90.00 120.00
Space group P3m1 (No. 156)
One atom of each set of equivalent atoms:
Fe 0.0000 0.0000 0.0000 x1
H 0.6667 0.3333 0.0360 x1
Au 0.3333 0.6667 0.5078 x1

Results
Energy relative to the lowest polymorph listed for this composition in eV per atom: 0.0000
Total magnetic moment in μB/f.u.: 2.410
Crystal system: trigonal

=====

8.
DFT (PBE) results for crystalline FeHAu2 at its relaxed geometry.

Lattice parameters (Å, degrees): 6.3542 6.3542 5.3627 90.00 90.00 90.00
Space group I-42d (No. 122)
One atom of each set of equivalent atoms:
Fe 0.0000 0.0000 0.0000 x4
H 0.0000 0.0000 0.5000 x4
Au 0.1631 0.2500 0.6250 x8

Results
Energy relative to the lowest polymorph listed for this composition in eV per atom: 0.0000
Total magnetic moment in μB/f.u.: 3.140
Crystal system: tetragonal

=====

9.
DFT (PBE) results for crystalline FeH3Au at its relaxed geometry.

Lattice parameters (Å, degrees): 3.6099 3.6099 3.6099 90.00 90.00 90.00
Space group Pm-3m (No. 221)
One atom of each set of equivalent atoms:
Fe 0.0000 0.0000 0.0000 x1
H 0.0000 0.5000 0.5000 x3
Au 0.5000 0.5000 0.5000 x1

Results
Energy relative to the lowest polymorph listed for this composition in eV per atom: 0.2720
Total magnetic moment in μB/f.u.: 2.990
Crystal system: cubic

=====

10.
DFT (PBE) results for crystalline FeHAu2 at its relaxed geometry.

Lattice parameters (Å, degrees): 6.1125 6.1125 6.1125 90.00 90.00 90.00
Space group Fm-3m (No. 225)
One atom of each set of equivalent atoms:
Fe 0.0000 0.0000 0.0000 x4
H 0.0000 0.0000 0.5000 x4
Au 0.2500 0.2500 0.2500 x8

Results
Energy relative to the lowest polymorph listed for this composition in eV per atom: 0.2764
Total magnetic moment in μB/f.u.: 3.226
Crystal system: cubic

=====

11.
DFT (PBE) results for crystalline Fe3HAu at its relaxed geometry.

Lattice parameters (Å, degrees): 3.8006 3.8006 3.8006 90.00 90.00 90.00
Space group Pm-3m (No. 221)
One atom of each set of equivalent atoms:
Fe 0.0000 0.0000 0.5000 x3
H 0.0000 0.0000 0.0000 x1
Au 0.5000 0.5000 0.5000 x1

Results
Energy relative to the lowest polymorph listed for this composition in eV per atom: 0.0000
Total magnetic moment in μB/f.u.: 7.731
Crystal system: cubic

=====

12.
DFT (PBE) results for crystalline Fe3HAu at its relaxed geometry.

Lattice parameters (Å, degrees): 4.8443 4.8443 4.8443 90.00 90.00 90.00
Space group Pm-3m (No. 221)
One atom of each set of equivalent atoms:
Fe 0.0000 0.0000 0.5000 x3
H 0.5000 0.5000 0.5000 x1
Au 0.0000 0.0000 0.0000 x1

Results
Energy relative to the lowest polymorph listed for this composition in eV per atom: 1.7330
Total magnetic moment in μB/f.u.: 10.743
Crystal system: cubic